Computed, not measured: a relaxed structure of Zr6IrPd at the GGA-PBE level of DFT.

For the volume, the calculation gives 331 Å³/cell. The calculation puts the formation energy from the elements at -0.41 eV/atom.

The structure belongs to space group I4/mmm (No. 139); the cell edges are 4.715, 4.715 and 14.870 Å and the angles 90.00°, 90.00° and 90.00°. The asymmetric unit holds Zr at (0.000, 0.000, 0.250), Zr at (0.000, 0.500, 0.111), Ir at (0.000, 0.000, 0.000) and Pd at (0.000, 0.000, 0.500).

=====

Computed, not measured: a relaxed structure of BiHPt2 at the GGA-PBE level of DFT.

As for the offset from the most stable computed form: 237.1 kJ/mol of formula units. For the volume, the calculation gives 267 Å³/cell.

The structure belongs to space group Fm-3m (No. 225); the cell edges are 6.441, 6.441 and 6.441 Å and the angles 90.00°, 90.00° and 90.00°. The asymmetric unit holds Bi at (0.000, 0.000, 0.000), H at (0.000, 0.000, 0.500) and Pt at (0.250, 0.250, 0.250).

=====

Computed, not measured: a relaxed structure of Y4CrAs at the GGA-PBE level of DFT.

For the volume, the calculation gives 689 Å³/cell. The calculation puts the formation energy from the elements at 0.61 eV/atom.

The structure belongs to space group F-43m (No. 216); the cell edges are 8.830, 8.830 and 8.830 Å and the angles 90.00°, 90.00° and 90.00°. The asymmetric unit holds Y at (0.125, 0.125, 0.125), Cr at (0.000, 0.000, 0.500) and As at (0.250, 0.250, 0.750).

=====

Computed, not measured: a relaxed structure of TbLu5 at the GGA-PBE level of DFT.

For the volume, the calculation gives 360 Å³/cell. The calculation puts the formation energy from the elements at 0.11 eV/atom.

The structure belongs to space group Cmmm (No. 65); the cell edges are 5.575, 17.526 and 3.683 Å and the angles 90.00°, 90.00° and 90.00°. The asymmetric unit holds Tb at (0.000, 0.000, 0.000), Lu at (0.000, 0.182, 0.500), Lu at (0.000, 0.346, 0.000) and Lu at (0.000, 0.500, 0.500).

=====

Computed, not measured: a relaxed structure of Hf3TiCo at the GGA-PBE level of DFT.

As for the offset from the most stable computed form: 9.1 kJ/mol of formula units. For the volume, the calculation gives 399 Å³/cell. The calculation puts the formation energy from the elements at -0.04 eV/atom.

The structure belongs to space group C2/m (No. 12); the cell edges are 9.822, 7.755 and 6.745 Å and the angles 90.00°, 129.10° and 90.00°. The asymmetric unit holds Hf at (0.032, 0.000, 0.305), Hf at (0.206, 0.299, 0.731), Ti at (0.070, 0.500, 0.270) and Co at (0.221, 0.500, 0.085).

=====

Computed, not measured: a relaxed structure of Ti2BeCd at the GGA-PBE level of DFT.

As for the offset from the most stable computed form: 177.7 kJ/mol of formula units. For the volume, the calculation gives 264 Å³/cell. The calculation puts the formation energy from the elements at 0.43 eV/atom.

The structure belongs to space group I-42d (No. 122); the cell edges are 7.317, 7.317 and 4.930 Å and the angles 90.00°, 90.00° and 90.00°. The asymmetric unit holds Ti at (0.222, 0.250, 0.125), Be at (0.000, 0.000, 0.000) and Cd at (0.000, 0.000, 0.500).

=====

Computed, not measured: a relaxed structure of TaOs2Ru at the GGA-PBE level of DFT.

As for the offset from the most stable computed form: 37.0 kJ/mol of formula units. For the volume, the calculation gives 121 Å³/cell. The calculation puts the formation energy from the elements at -0.06 eV/atom.

The structure belongs to space group C2/m (No. 12); the cell edges are 9.174, 2.788 and 4.813 Å and the angles 90.00°, 99.98° and 90.00°. The asymmetric unit holds Ta at (0.000, 0.000, 0.000), Os at (0.246, 0.000, 0.732) and Ru at (0.000, 0.500, 0.500).

=====

Computed, not measured: a relaxed structure of Nd5Te3 at the GGA-PBE level of DFT.

As for the uncorrected formation energy: -1.07 eV per atom. For the volume, the calculation gives 483 Å³/cell.

The structure belongs to space group P6_3/mcm (No. 193); the cell edges are 9.3525, 9.3525 and 6.3792 Å and the angles 90.00°, 90.00° and 120.00°. The asymmetric unit holds Nd at (0.0000, 0.2578, 0.2500), Nd at (0.3333, 0.6667, 0.0000) and Te at (0.0000, 0.3836, 0.7500).

=====

Computed, not measured: a relaxed structure of Te2SeO at the GGA-PBE level of DFT.

As for the uncorrected formation energy: 0.48 eV per atom. As for the offset from the most stable computed form: 180.3 kJ/mol of formula units. For the volume, the calculation gives 319 Å³/cell.

The structure belongs to space group Fm-3m (No. 225); the cell edges are 6.831, 6.831 and 6.831 Å and the angles 90.00°, 90.00° and 90.00°. The asymmetric unit holds Te at (0.250, 0.250, 0.250), Se at (0.000, 0.000, 0.000) and O at (0.000, 0.000, 0.500).

=====

Computed, not measured: a relaxed structure of PrBi2Au at the GGA-PBE level of DFT.

As for the offset from the most stable computed form: 0.0 kJ/mol of formula units. For the volume, the calculation gives 223 Å³/cell. The calculation puts the formation energy from the elements at -0.59 eV/atom.

The structure belongs to space group P4/nmm (No. 129, origin choice 2); the cell edges are 4.740, 4.740 and 9.938 Å and the angles 90.00°, 90.00° and 90.00°. The asymmetric unit holds Pr at (0.250, 0.250, 0.231), Bi at (0.250, 0.250, 0.808), Bi at (0.250, 0.750, 0.500) and Au at (0.250, 0.750, 0.000).

=====

Computed, not measured: a relaxed structure of Li3In3SnS8 at the GGA-PBE level of DFT.

As for the uncorrected formation energy: -0.78 eV per atom. For the volume, the calculation gives 918 Å³/cell.

The structure belongs to space group R-3m (No. 166, hexagonal axes); the cell edges are 7.5232, 7.5232 and 18.7196 Å and the angles 90.00°, 90.00° and 120.00°. The asymmetric unit holds Li at (0.0000, 0.5000, 0.0000), In at (0.0000, 0.5000, 0.5000), Sn at (0.0000, 0.0000, 0.5000), S at (0.0000, 0.0000, 0.2469) and S at (0.0096, 0.5048, 0.2465).

=====

Computed, not measured: a relaxed structure of SrSc2Te at the GGA-PBE level of DFT.

As for the uncorrected formation energy: -0.18 eV per atom. For the volume, the calculation gives 529 Å³/cell.

The structure belongs to space group I-42d (No. 122); the cell edges are 9.017, 9.017 and 6.505 Å and the angles 90.00°, 90.00° and 90.00°. The asymmetric unit holds Sr at (0.000, 0.000, 0.000), Sc at (0.181, 0.250, 0.625) and Te at (0.000, 0.000, 0.500).